Computed, not measured: Cs2ZrCI6 after structural relaxation at the PBE level of DFT.

As for the crystal system: tetragonal. The mass density is 4.4 g cm⁻³. For the uncorrected formation energy, the calculation gives -0.400 eV per atom. The calculation puts the density of states at the Fermi level at 0.21 states/eV/atom.

It has space group I4/mmm (No. 139), with a = 8.145 Å, b = 8.145 Å, c = 12.811 Å, α = 90.00°, β = 90.00° and γ = 90.00°. The distinct sites, in fractional coordinates, are Cs at (0.000, 0.500, 0.250), Zr at (0.000, 0.000, 0.000), C at (0.000, 0.000, 0.500), I at (0.000, 0.000, 0.226) and I at (0.247, 0.247, 0.500).